# 1
VASP calculation (PBE) on CaTl3C2O6 after structural relaxation.

It has space group P-3m1 (No. 164), with a = 5.4408 Å, b = 5.4408 Å, c = 8.2420 Å, α = 90.00°, β = 90.00° and γ = 120.00°. The distinct sites, in fractional coordinates, are Ca at (0.0000, 0.0000, 0.0000), Tl at (0.0000, 0.0000, 0.5000), Tl at (0.3333, 0.6667, 0.3156), C at (0.3333, 0.6667, 0.8270) and O at (0.1954, 0.3908, 0.8244).

The theoretical density comes out at 6.077 g cm⁻³. For the formation energy without anion corrections, the calculation gives -1.4252 eV/atom.

# 2
VASP calculation (PBE) on YTh4Bi5 after structural relaxation.

It has space group Immm (No. 71), with a = 4.571 Å, b = 6.472 Å, c = 22.917 Å, α = 90.00°, β = 90.00° and γ = 90.00°. The distinct sites, in fractional coordinates, are Y at (0.000, 0.000, 0.000), Th at (0.000, 0.000, 0.199), Th at (0.000, 0.000, 0.400), Bi at (0.000, 0.500, 0.000), Bi at (0.000, 0.500, 0.201) and Bi at (0.000, 0.500, 0.404).

The theoretical density comes out at 10.099 g cm⁻³. The value obtained for the formation energy is -6.236 eV per formula unit.

Q: Which energy values were calculated for the entries above? A: -6.200 -6.178, in eV/atom.